Density functional theory data (GGA-PBE) for DyHoSb after structural relaxation.

a b c (Å): 5.0652 5.0652 3.9181
angles (deg): 90.00 90.00 120.00
Space group P3m1 (No. 156)
Inequivalent atoms, fractional coordinates:
Dy 0.0000 0.0000 0.0000 [1 per cell]
Ho 0.6667 0.3333 0.5293 [1 per cell]
Sb 0.3333 0.6667 0.2741 [1 per cell]

Results
E_form (uncorrected)	-418	meV/atom
DOS at the Fermi energy	3.00	states/eV/f.u.
crystal system	trigonal